The following is a PBE with a Hubbard U calculation of MnTlHgF6 after structural relaxation, from the Alexandria database.

Summary:
* calculated volume: 18.31 Å³/atom
* final energy: -4.22 eV per atom

Lattice parameters (Å, degrees): 5.878 5.878 11.017 90.00 90.00 120.00
Element x y z (fractional)
Mn  0.333  0.667  0.250
Mn  0.667  0.333  0.750
Tl  0.000  0.000  0.000
Tl  0.000  0.000  0.500
Hg  0.333  0.667  0.750
Hg  0.667  0.333  0.250
F  0.054  0.405  0.152
F  0.054  0.649  0.348
F  0.351  0.405  0.348
F  0.351  0.946  0.152
F  0.405  0.054  0.652
F  0.405  0.351  0.848
F  0.595  0.649  0.152
F  0.595  0.946  0.348
F  0.649  0.054  0.848
F  0.649  0.595  0.652
F  0.946  0.351  0.652
F  0.946  0.595  0.848